8
Lattice="5.129 0.000 0.000 2.564 4.441 0.000 2.564 1.480 8.459" Properties=species:S:1:pos:R:3 comment="PrSmTm2Au4, relaxed, DFT PBE" delta_e_f_mev_per_atom=-813 total_magnetization_mub_per_fu=0.0 pbc="T T T"
Pr 0.000 0.000 0.000
Sm 5.129 2.961 4.230
Tm 7.693 4.441 6.325
Tm 2.564 1.480 2.134
Au 5.129 2.961 7.314
Au 7.693 4.441 3.217
Au 2.564 1.480 5.242
Au 5.129 2.961 1.145

5
Lattice="4.882 0.000 0.000 0.000 4.882 0.000 0.000 0.000 5.088" Properties=species:S:1:pos:R:3 comment="BiAs2PdSe, relaxed, DFT PBE" total_magnetization_mub_per_fu=0.0 formation_energy_uncorrected_kj_per_mol_fu=170 pbc="T T T"
As 0.000 2.441 0.000
As 2.441 0.000 0.000
Se 0.000 0.000 2.544
Bi 2.441 2.441 2.544
Pd 0.000 0.000 0.000

12
Lattice="-1.331 -5.913 1.094 5.464 1.533 -2.394 3.008 2.436 11.061" Properties=species:S:1:pos:R:3 comment="NdSm3Y2Tm6, relaxed, DFT PBE" delta_e_f_mev_per_atom=22 total_magnetization_mub_per_fu=0.0 pbc="T T T"
Nd 0.000 0.000 0.000
Sm 5.834 1.508 3.719
Sm 1.308 -3.453 6.042
Sm 3.571 -0.972 4.881
Y 3.200 -0.949 -1.231
Y 0.934 -3.432 -0.069
Tm 4.224 -2.698 7.903
Tm 3.854 -2.678 1.789
Tm 2.918 0.753 1.859
Tm 6.488 -0.218 6.741
Tm 3.288 0.733 7.972
Tm 0.654 -1.727 3.020

4
Lattice="4.293 0.000 0.000 2.146 3.718 0.000 2.146 1.239 10.535" Properties=species:S:1:pos:R:3 comment="ThSe2I, relaxed, DFT PBE" total_magnetization_mub_per_fu=1.0 formation_energy_uncorrected_kj_per_mol_fu=-401 pbc="T T T"
I 4.293 2.479 5.268
Se 2.146 1.239 1.540
Se 6.439 3.718 8.995
Th 0.000 0.000 0.000

24
Lattice="7.198 -8.510 -7.184 9.711 -8.051 -0.749 -3.389 -5.989 -0.762" Properties=species:S:1:pos:R:3 comment="MnGa2Cu3Se6, relaxed, DFT PBE" total_magnetization_mub_per_fu=4.0 formation_energy_uncorrected_kj_per_mol_fu=-500 pbc="T T T"
Mn 7.251 -10.738 -3.749
Mn 10.631 -16.376 -5.922
Ga 0.486 -7.186 -1.380
Ga 14.019 -14.288 -6.114
Ga 7.247 -6.883 -2.742
Ga 0.498 -3.316 -0.405
Cu 3.867 -8.945 -2.558
Cu 4.292 -13.972 -7.358
Cu 10.650 -12.515 -4.921
Cu 14.035 -18.118 -7.130
Cu 7.242 -14.617 -4.696
Cu 3.862 -5.111 -1.586
Se 6.711 -14.030 -7.010
Se 13.045 -12.596 -4.622
Se 6.256 -9.061 -2.222
Se 9.713 -10.813 -3.487
Se 2.924 -7.279 -1.087
Se 3.383 -12.264 -5.863
Se 6.297 -12.958 -3.217
Se 10.147 -11.942 -7.245
Se 3.375 -8.444 -4.865
Se 2.898 -11.127 -2.031
Se 6.721 -10.140 -6.089
Se 9.643 -14.654 -4.442

8
Lattice="-6.079 1.360 -4.308 -1.405 -7.433 -0.363 -5.348 -2.847 -0.010" Properties=species:S:1:pos:R:3 comment="Hf2TiOs, relaxed, DFT PBE" delta_e_f_mev_per_atom=235 total_magnetization_mub_per_fu=0.0 pbc="T T T"
Hf -5.558 -0.736 -2.915
Hf -2.729 -5.242 -0.594
Hf -6.760 -4.112 -1.745
Hf -10.616 -7.750 -4.110
Os 0.000 0.000 0.000
Os -7.584 -2.262 -3.327
Ti -3.742 -3.037 -2.336
Ti -5.248 -6.658 -1.355

10
Lattice="5.128 0.000 2.474 2.564 6.354 1.237 -0.196 0.000 6.960" Properties=species:S:1:pos:R:3 comment="Er4HfAs5, relaxed, DFT PBE" delta_e_f_mev_per_atom=-1411 total_magnetization_mub_per_fu=0.0 pbc="T T T"
Er 2.936 2.526 7.031
Er 6.035 5.057 7.160
Er 1.472 1.297 3.514
Er 4.570 3.828 3.644
Hf 0.006 0.000 0.003
As 5.470 2.469 8.330
As 3.446 5.127 5.975
As 4.061 1.227 4.700
As 2.036 3.884 2.345
As 2.570 0.000 1.240

5
Lattice="-3.485 -3.621 -0.060 3.540 -3.389 -1.112 0.780 -0.833 5.021" Properties=species:S:1:pos:R:3 comment="RbZn2InRh, relaxed, DFT PBE" delta_e_f_mev_per_atom=-161 total_magnetization_mub_per_fu=0.0 pbc="T T T"
Zn 1.770 -1.695 -0.556
Zn -1.742 -1.810 -0.030
Rh 0.000 0.000 0.000
Rb 0.417 -3.921 1.925
In 0.390 -0.417 2.510

4
Lattice="5.326 -0.018 -0.035 2.129 4.882 0.035 -3.711 -2.457 2.925" Properties=species:S:1:pos:R:3 comment="ZrHg2Os, relaxed, DFT PBE" delta_e_f_mev_per_atom=198 total_magnetization_mub_per_fu=0.0 pbc="T T T"
Hg 0.001 0.001 0.000
Hg 3.726 2.431 0.000
Os 2.671 -0.021 1.445
Zr 1.073 2.428 1.480

4
Lattice="4.931 0.000 0.000 0.000 4.415 0.000 0.000 0.000 4.415" Properties=species:S:1:pos:R:3 comment="Tl2RuPb, relaxed, DFT PBE" delta_e_f_mev_per_atom=686 total_magnetization_mub_per_fu=1.1 pbc="T T T"
Pb 2.465 2.207 0.000
Ru 2.465 0.000 2.207
Tl 0.000 0.000 0.000
Tl 0.000 2.207 2.207

11
Lattice="-2.853 -2.628 3.073 2.553 -8.494 -0.910 5.528 -3.769 5.893" Properties=species:S:1:pos:R:3 comment="Na2Tl7Cd2, relaxed, DFT PBE" delta_e_f_mev_per_atom=-32 total_magnetization_mub_per_fu=0.0 pbc="T T T"
Na 3.649 -6.753 1.596
Na 3.193 -6.527 5.351
Tl -0.886 -3.723 3.963
Tl 3.354 -9.451 6.985
Tl 1.332 -9.482 1.096
Tl 0.656 -6.579 2.951
Tl 3.877 -9.417 3.514
Tl 6.631 -10.347 5.276
Tl 2.861 -3.874 3.327
Cd 4.043 -12.222 5.254
Cd 0.419 -3.886 1.050

5
Lattice="-0.431 -4.094 4.000 -0.346 -3.986 -4.116 5.713 -0.550 0.053" Properties=species:S:1:pos:R:3 comment="BaTe3Br, relaxed, DFT PBE" total_magnetization_mub_per_fu=0.0 formation_energy_uncorrected_kj_per_mol_fu=-129 pbc="T T T"
Ba 2.468 -4.315 -0.031
Te -0.173 -1.993 -2.058
Te 2.857 -0.275 0.026
Te -0.216 -2.047 2.000
Br 0.000 0.000 0.000

10
Lattice="3.628 0.000 0.000 0.000 3.628 0.000 0.000 0.000 24.787" Properties=species:S:1:pos:R:3 comment="Pr5Er4Sc, relaxed, DFT PBE" delta_e_f_mev_per_atom=27 total_magnetization_mub_per_fu=0.0 pbc="T T T"
Pr 1.814 1.814 2.315
Pr 1.814 1.814 7.352
Pr 1.814 1.814 12.394
Pr 1.814 1.814 17.436
Pr 1.814 1.814 22.472
Er 0.000 0.000 4.829
Er 0.000 0.000 9.875
Er 0.000 0.000 14.913
Er 0.000 0.000 19.958
Sc 0.000 0.000 0.000

10
Lattice="6.225 0.000 0.000 0.000 6.225 0.000 0.000 0.000 4.402" Properties=species:S:1:pos:R:3 comment="Zr2Mn2W, relaxed, DFT PBE" delta_e_f_mev_per_atom=55 total_magnetization_mub_per_fu=0.0 pbc="T T T"
Mn 2.350 5.462 0.000
Mn 5.462 3.875 0.000
Mn 3.875 0.762 0.000
Mn 0.762 2.350 0.000
Zr 1.136 4.249 2.201
Zr 4.249 5.088 2.201
Zr 5.088 1.976 2.201
Zr 1.976 1.136 2.201
W 0.000 0.000 0.000
W 3.112 3.112 0.000

4
Lattice="3.319 -0.016 0.000 0.016 3.319 0.000 0.000 0.000 8.191" Properties=species:S:1:pos:R:3 comment="MnIn2Se, relaxed, DFT PBE" total_magnetization_mub_per_fu=3.7 formation_energy_uncorrected_kj_per_mol_fu=-15 pbc="T T T"
In 0.000 0.000 8.081
In 1.668 1.652 2.450
Mn 0.000 0.000 4.423
Se 1.668 1.652 5.523

6
Lattice="-3.088 -0.177 -4.110 -0.907 -6.699 -2.248 -6.512 -2.017 1.760" Properties=species:S:1:pos:R:3 comment="Ba2InPb3, relaxed, DFT PBE" delta_e_f_mev_per_atom=-444 total_magnetization_mub_per_fu=0.0 pbc="T T T"
Ba -6.401 -2.767 -1.509
Ba -4.118 -6.119 -3.079
In -2.639 -3.292 -1.094
Pb -7.803 -5.552 -3.554
Pb -3.518 -1.825 -3.716
Pb -7.040 -7.127 -0.841

20
Lattice="-1.117 -1.011 -2.705 2.955 -8.500 1.955 -8.065 -1.877 4.031" Properties=species:S:1:pos:R:3 comment="TiBe2V2Rh5, relaxed, DFT PBE" delta_e_f_mev_per_atom=-475 total_magnetization_mub_per_fu=2.6 pbc="T T T"
Ti 0.000 0.000 0.000
Ti -2.555 -5.188 2.993
Be -4.664 -2.220 2.755
Be -0.446 -8.157 3.231
Be -5.226 -6.945 4.752
Be 0.116 -3.432 1.234
V 0.584 -6.065 2.025
V -5.694 -4.312 3.962
V -2.105 -2.097 1.652
V -3.004 -8.280 4.334
Rh -0.534 -2.408 -0.652
Rh -5.692 -8.979 3.933
Rh -6.732 -2.613 1.984
Rh -1.910 -7.322 1.752
Rh 0.506 -8.774 1.297
Rh -4.316 -4.065 1.529
Rh -4.572 -6.705 2.621
Rh -1.654 -4.683 0.660
Rh 0.919 -4.755 -0.375
Rh -4.591 -1.444 0.663

5
Lattice="-3.841 -3.931 -1.000 3.480 -2.487 -3.593 2.076 -3.084 4.147" Properties=species:S:1:pos:R:3 comment="HfScTe2I, relaxed, DFT PBE" total_magnetization_mub_per_fu=1.5 formation_energy_uncorrected_kj_per_mol_fu=-36 pbc="T T T"
I 1.038 -1.542 2.073
Sc 0.858 -4.751 -0.223
Te 1.740 -1.244 -1.796
Te -1.921 -1.965 -0.500
Hf 0.000 0.000 0.000

3
Lattice="-2.020 3.483 0.219 -0.234 -0.388 4.006 3.903 2.236 0.445" Properties=species:S:1:pos:R:3 comment="Ag2Br, relaxed, DFT PBE" total_magnetization_mub_per_fu=0.0 formation_energy_uncorrected_kj_per_mol_fu=44 pbc="T T T"
Br 0.000 0.000 0.000
Ag 1.835 0.924 2.226
Ag 0.942 2.859 0.332

15
Lattice="-2.786 -0.012 3.369 -2.213 -2.591 -2.405 22.720 -7.951 14.166" Properties=species:S:1:pos:R:3 comment="In10Hg4Sb, relaxed, DFT PBE" total_magnetization_mub_per_fu=0.0 formation_energy_uncorrected_kj_per_mol_fu=34 pbc="T T T"
In 5.098 -3.422 6.176
In 1.396 -2.931 0.338
In 19.529 -7.813 14.517
In 12.958 -7.169 12.126
In 9.330 -6.672 6.259
In -1.809 -2.741 0.612
In 16.325 -7.624 14.792
In 12.623 -7.132 8.954
In 8.390 -3.882 8.871
In 4.763 -3.385 3.003
Hg 16.028 -7.486 11.772
Hg 9.576 -6.812 9.301
Hg 8.145 -3.743 5.829
Hg 1.692 -3.068 3.358
Sb 0.000 0.000 0.000